(1)
TmTiTc4 | PBE-GGA | relaxed

Computed properties:
The total energy is -9.12 eV per atom. The formation energy from the elements is -86.0 kJ/mol of formula units. For the calculated volume, the calculation gives 17.1 Å³/atom.

Unit cell a=5.255 b=5.255 c=5.255 alpha=60.00 beta=60.00 gamma=60.00
Fractional positions:
Tm: 0.000 0.000 0.000
Ti: 0.750 0.750 0.750
Tc: 0.375 0.375 0.375
Tc: 0.375 0.375 0.874
Tc: 0.375 0.874 0.375
Tc: 0.874 0.375 0.375

(2)
TmTiZnTc | PBE-GGA | relaxed

Computed properties:
The total energy is -6.18 eV per atom. The formation energy from the elements is -67.8 kJ/mol of formula units. For the calculated volume, the calculation gives 17.7 Å³/atom.

Unit cell a=4.644 b=4.644 c=4.644 alpha=60.00 beta=60.00 gamma=60.00
Fractional positions:
Tm: 0.000 0.000 0.000
Ti: 0.500 0.500 0.500
Zn: 0.750 0.750 0.750
Tc: 0.250 0.250 0.250

(3)
UTi2Tc | PBE-GGA | relaxed

Computed properties:
The total energy is -9.47 eV per atom. The formation energy from the elements is -43.1 kJ/mol of formula units. For the calculated volume, the calculation gives 17.6 Å³/atom.

Unit cell a=3.055 b=3.055 c=7.541 alpha=90.00 beta=90.00 gamma=90.00
Fractional positions:
U: 0.000 0.000 0.000
Ti: 0.500 0.500 0.298
Ti: 0.500 0.500 0.702
Tc: 0.000 0.000 0.500

(4)
UTiTc | PBE-GGA | relaxed

Computed properties:
The total energy is -9.61 eV per atom. The formation energy from the elements is 69.0 kJ/mol of formula units. The value obtained for the distance to the lowest polymorph of the same formula is 300 meV per atom. For the calculated volume, the calculation gives 17.9 Å³/atom.

Unit cell a=3.699 b=3.699 c=7.840 alpha=90.00 beta=90.00 gamma=90.00
Fractional positions:
U: 0.250 0.750 0.000
U: 0.750 0.250 0.000
Ti: 0.250 0.250 0.351
Ti: 0.750 0.750 0.649
Tc: 0.250 0.250 0.688
Tc: 0.750 0.750 0.312

(5)
UTiTc | PBE-GGA | relaxed

Computed properties:
The total energy is -9.91 eV per atom. The formation energy from the elements is -17.8 kJ/mol of formula units. The value obtained for the distance to the lowest polymorph of the same formula is 0 meV per atom. For the calculated volume, the calculation gives 17.0 Å³/atom.

Unit cell a=4.535 b=4.535 c=2.860 alpha=90.00 beta=90.00 gamma=120.00
Fractional positions:
U: 0.000 0.000 0.000
Ti: 0.333 0.667 0.677
Tc: 0.667 0.333 0.277

(6)
Ti2VTc | PBE-GGA | relaxed

Computed properties:
The total energy is -9.01 eV per atom. The formation energy from the elements is -74.9 kJ/mol of formula units. The value obtained for the distance to the lowest polymorph of the same formula is 16 meV per atom. For the calculated volume, the calculation gives 15.2 Å³/atom.

Unit cell a=2.836 b=4.314 c=5.103 alpha=90.00 beta=103.12 gamma=90.00
Fractional positions:
Ti: 0.000 0.000 0.000
Ti: 0.299 0.500 0.734
V: 0.717 0.500 0.259
Tc: 0.515 0.000 0.489

(7)
TiVTc3 | PBE-GGA | relaxed

Computed properties:
The total energy is -8.29 eV per atom. The formation energy from the elements is 642.3 kJ/mol of formula units. The value obtained for the distance to the lowest polymorph of the same formula is 459 meV per atom. For the calculated volume, the calculation gives 17.8 Å³/atom.

Unit cell a=4.465 b=4.465 c=4.465 alpha=90.00 beta=90.00 gamma=90.00
Fractional positions:
Ti: 0.000 0.000 0.000
V: 0.500 0.500 0.500
Tc: 0.000 0.000 0.500
Tc: 0.000 0.500 0.000
Tc: 0.500 0.000 0.000

(8)
Ti2VTc2 | PBE-GGA | relaxed

Computed properties:
The total energy is -9.01 eV per atom. The formation energy from the elements is 56.3 kJ/mol of formula units. The value obtained for the distance to the lowest polymorph of the same formula is 75 meV per atom. For the calculated volume, the calculation gives 15.7 Å³/atom.

Unit cell a=7.220 b=7.220 c=3.020 alpha=90.00 beta=90.00 gamma=90.00
Fractional positions:
Ti: 0.142 0.358 0.000
Ti: 0.358 0.858 0.000
Ti: 0.642 0.142 0.000
Ti: 0.858 0.642 0.000
V: 0.000 0.000 0.000
V: 0.500 0.500 0.000
Tc: 0.163 0.663 0.500
Tc: 0.337 0.163 0.500
Tc: 0.663 0.837 0.500
Tc: 0.837 0.337 0.500

(9)
TiVTc4 | PBE-GGA | relaxed

Computed properties:
The total energy is -9.25 eV per atom. The formation energy from the elements is 287.5 kJ/mol of formula units. For the calculated volume, the calculation gives 17.1 Å³/atom.

Unit cell a=4.920 b=4.920 c=4.826 alpha=92.71 beta=92.71 gamma=118.01
Fractional positions:
Ti: 0.000 0.000 0.000
V: 0.500 0.500 0.500
Tc: 0.120 0.585 0.747
Tc: 0.415 0.880 0.253
Tc: 0.585 0.120 0.747
Tc: 0.880 0.415 0.253

(10)
Ti2VTc | PBE-GGA | relaxed

Computed properties:
The total energy is -8.43 eV per atom. The formation energy from the elements is 149.6 kJ/mol of formula units. The value obtained for the distance to the lowest polymorph of the same formula is 598 meV per atom. For the calculated volume, the calculation gives 15.9 Å³/atom.

Unit cell a=5.731 b=5.731 c=5.731 alpha=152.14 beta=133.24 gamma=55.31
Fractional positions:
Ti: 0.249 0.249 0.000
Ti: 0.751 0.751 0.000
V: 0.500 0.500 0.000
Tc: 0.000 0.000 0.000

(11)
TiV2Tc2 | PBE-GGA | relaxed

Computed properties:
The total energy is -9.32 eV per atom. The formation energy from the elements is 23.8 kJ/mol of formula units. The value obtained for the distance to the lowest polymorph of the same formula is 350 meV per atom. For the calculated volume, the calculation gives 15.0 Å³/atom.

Unit cell a=7.231 b=7.231 c=2.872 alpha=90.00 beta=90.00 gamma=90.00
Fractional positions:
Ti: 0.000 0.000 0.000
Ti: 0.500 0.500 0.000
V: 0.145 0.355 0.000
V: 0.355 0.855 0.000
V: 0.645 0.145 0.000
V: 0.855 0.645 0.000
Tc: 0.158 0.658 0.500
Tc: 0.342 0.158 0.500
Tc: 0.658 0.842 0.500
Tc: 0.842 0.342 0.500

(12)
TiVTc2 | PBE-GGA | relaxed

Computed properties:
The total energy is -9.14 eV per atom. The formation energy from the elements is 113.9 kJ/mol of formula units. The value obtained for the distance to the lowest polymorph of the same formula is 748 meV per atom. For the calculated volume, the calculation gives 15.5 Å³/atom.

Unit cell a=5.504 b=5.504 c=5.504 alpha=103.75 beta=103.75 gamma=121.65
Fractional positions:
Ti: 0.000 0.000 0.000
Ti: 0.750 0.250 0.500
V: 0.250 0.750 0.500
V: 0.500 0.500 0.000
Tc: 0.141 0.125 0.516
Tc: 0.375 0.859 0.984
Tc: 0.609 0.625 0.484
Tc: 0.875 0.391 0.016